[1]
{
  "formula": "Pr6Cu2I3Br",
  "functional": "PBE",
  "state": "relaxed",
  "lattice": [[-5.255, 4.067, 3.426], [-1.029, -7.326, -1.080], [5.451, -0.405, 6.137]],
  "species": ["Pr", "Pr", "Pr", "Pr", "Pr", "Pr", "I", "I", "I", "Cu", "Cu", "Br"],
  "fractional_positions": [[0.710, 0.710, 0.195], [0.066, 0.421, 0.200], [0.421, 0.066, 0.200], [0.290, 0.290, 0.805], [0.579, 0.934, 0.800], [0.934, 0.579, 0.800], [0.500, 0.500, 0.500], [0.161, 0.839, 0.500], [0.839, 0.161, 0.500], [0.668, 0.332, 0.000], [0.332, 0.668, 0.000], [0.000, 0.000, 0.000]],
  "raw_formation_energy_mev_per_atom": -715,
  "sg": "No. 12"
}

---

[2]
{
  "formula": "LiAcCd2Hg4",
  "functional": "PBE",
  "state": "relaxed",
  "lattice": [[4.957, 0.000, 0.000], [2.478, 4.293, 0.000], [2.478, 1.431, 9.297]],
  "species": ["Hg", "Hg", "Hg", "Hg", "Cd", "Cd", "Li", "Ac"],
  "fractional_positions": [[0.867, 0.867, 0.399], [0.133, 0.133, 0.601], [0.607, 0.607, 0.179], [0.393, 0.393, 0.821], [0.242, 0.242, 0.273], [0.758, 0.758, 0.727], [0.500, 0.500, 0.500], [0.000, 0.000, 0.000]],
  "formation_energy_ev_per_atom": -0.300,
  "sg": "No. 166"
}

---

[3]
{
  "formula": "HfTaNbHg",
  "functional": "PBE",
  "state": "relaxed",
  "lattice": [[-2.284, 2.147, 1.209], [0.641, -1.074, 3.118], [6.365, 4.941, -1.415]],
  "species": ["Hg", "Hf", "Ta", "Nb"],
  "fractional_positions": [[0.171, 0.171, 0.342], [0.549, 0.549, 0.098], [0.351, 0.351, 0.702], [0.941, 0.941, 0.883]],
  "formation_energy_ev_per_atom": 0.281,
  "sg": "No. 107"
}